Here is crystalline BePtSeO at its relaxed geometry from OQMD. Energies are from PBE.

abc: 3.734 3.734 8.336
angles: 90.00 90.00 90.00
Space group P4/nmm (No. 129, origin choice 2)
Unique sites:
Be  0.250  0.250  0.140 (multiplicity 2)
Pt  0.250  0.750  0.500 (multiplicity 2)
Se  0.250  0.250  0.873 (multiplicity 2)
O  0.250  0.250  0.323 (multiplicity 2)

Values from the calculation:
Energy = -36.1 eV/cell
Energy relative to the lowest polymorph listed for this composition = 912 meV/atom
Crystal system = tetragonal

Here is crystalline HfTc2Sn at its relaxed geometry from OQMD. Energies are from PBE.

abc: 6.557 6.557 6.557
angles: 90.00 90.00 90.00
Space group F-43m (No. 216)
Unique sites:
Hf  0.000  0.000  0.000 (multiplicity 4)
Tc  0.000  0.000  0.500 (multiplicity 4)
Tc  0.250  0.250  0.250 (multiplicity 4)
Sn  0.250  0.250  0.750 (multiplicity 4)

Values from the calculation:
Energy = -136.3 eV/cell
Crystal system = cubic

Here is crystalline Ho2Er5Al at its relaxed geometry from OQMD. Energies are from PBE.

abc: 5.464 6.980 12.089
angles: 90.00 90.00 90.00
Space group Amm2 (No. 38)
Unique sites:
Ho  0.000  0.000  0.000 (multiplicity 2)
Ho  0.500  0.000  0.342 (multiplicity 2)
Er  0.000  0.245  0.755 (multiplicity 4)
Er  0.500  0.000  0.836 (multiplicity 2)
Er  0.500  0.244  0.585 (multiplicity 4)
Al  0.000  0.000  0.505 (multiplicity 2)

Values from the calculation:
Energy = -72.0 eV/cell
Crystal system = orthorhombic

Here is crystalline BaMgU at its relaxed geometry from OQMD. Energies are from PBE.

abc: 7.934 7.934 7.934
angles: 90.00 90.00 90.00
Space group F-43m (No. 216)
Unique sites:
Ba  0.000  0.000  0.000 (multiplicity 4)
Mg  0.250  0.250  0.250 (multiplicity 4)
U  0.000  0.000  0.500 (multiplicity 4)

Values from the calculation:
Energy = -44.4 eV/cell
Energy relative to the lowest polymorph listed for this composition = 0 meV/atom
Crystal system = cubic

Here is crystalline TbInAu3Se4 at its relaxed geometry from OQMD. Energies are from PBE.

abc: 5.962 7.597 10.672
angles: 90.00 102.86 90.00
Space group P2_1/m (No. 11)
Unique sites:
Tb  0.111  0.250  0.304 (multiplicity 2)
In  0.270  0.250  0.905 (multiplicity 2)
Au  0.303  0.563  0.552 (multiplicity 4)
Au  0.448  0.750  0.829 (multiplicity 2)
Se  0.048  0.250  0.568 (multiplicity 2)
Se  0.134  0.750  0.949 (multiplicity 2)
Se  0.379  0.530  0.259 (multiplicity 4)

Values from the calculation:
Energy = -70.4 eV/cell
Energy relative to the lowest polymorph listed for this composition = 0 meV/atom
Crystal system = monoclinic

Here is crystalline TbNdAg2O4 at its relaxed geometry from OQMD. Energies are from PBE.

abc: 3.5963 3.5963 12.5016
angles: 90.00 90.00 120.00
Space group P-3m1 (No. 164)
Unique sites:
Tb  0.0000  0.0000  0.0000 (multiplicity 1)
Nd  0.0000  0.0000  0.5000 (multiplicity 1)
Ag  0.3333  0.6667  0.2460 (multiplicity 2)
O  0.3333  0.6667  0.0809 (multiplicity 2)
O  0.3333  0.6667  0.4109 (multiplicity 2)

Values from the calculation:
Energy = -52.4 eV/cell
Crystal system = trigonal